A geometry-optimized Re3Rh structure, computed with PBE.

Computed properties:
E_tot: -11.331 eV/atom
Calculated volume: 14.73 Å³/atom
DFT formation energy: -0.16 eV per atom
Crystal system: hexagonal
Magnetization: 0.00 μB per atom

Structure (POSCAR):
```
Re3Rh
1.0
-1.621 -1.506 3.811
2.438 -4.910 -0.903
2.726 3.993 2.738
Re Rh
6 2
Direct
0.250 0.324 0.162 Re
0.250 0.838 0.162 Re
0.250 0.838 0.676 Re
0.750 0.676 0.838 Re
0.750 0.162 0.838 Re
0.750 0.162 0.324 Re
0.750 0.667 0.333 Rh
0.250 0.333 0.667 Rh
```

=====

A geometry-optimized Re3Rh2 structure, computed with PBE.

Computed properties:
E_tot: -10.155 eV/atom
Calculated volume: 15.25 Å³/atom
DFT formation energy: 0.25 eV per atom
Crystal system: trigonal
Magnetization: 0.00 μB per atom

Structure (POSCAR):
```
Re3Rh2
1.0
-2.122 -4.111 2.338
1.209 -2.209 4.530
-2.747 -0.248 4.388
Re Rh
3 2
Direct
0.816 0.816 0.816 Re
0.000 0.000 0.000 Re
0.184 0.184 0.184 Re
0.383 0.383 0.383 Rh
0.617 0.617 0.617 Rh
```

=====

A geometry-optimized Re5Rh3 structure, computed with PBE.

Computed properties:
E_tot: -10.550 eV/atom
Calculated volume: 14.71 Å³/atom
DFT formation energy: -0.01 eV per atom
Crystal system: orthorhombic
Magnetization: 0.00 μB per atom

Structure (POSCAR):
```
Re5Rh3
1.0
2.742 -7.802 0.000
2.742 7.802 0.000
0.000 0.000 2.749
Re Rh
5 3
Direct
0.003 0.997 0.000 Re
0.123 0.379 0.500 Re
0.252 0.748 0.000 Re
0.501 0.499 0.000 Re
0.621 0.877 0.500 Re
0.372 0.126 0.500 Rh
0.753 0.247 0.000 Rh
0.874 0.628 0.500 Rh
```

=====

A geometry-optimized Re3Rh5 structure, computed with PBE.

Computed properties:
E_tot: -9.407 eV/atom
Calculated volume: 14.33 Å³/atom
DFT formation energy: -0.14 eV per atom
Crystal system: monoclinic
Magnetization: 0.00 μB per atom

Structure (POSCAR):
```
Re3Rh5
1.0
4.369 0.000 0.000
0.000 2.728 0.005
0.000 2.717 9.627
Re Rh
3 5
Direct
0.000 0.105 0.019 Re
0.500 0.269 0.856 Re
0.000 0.607 0.518 Re
0.000 0.856 0.770 Rh
0.500 0.017 0.608 Rh
0.500 0.769 0.357 Rh
0.000 0.356 0.270 Rh
0.500 0.521 0.103 Rh
```